# 1
Density functional theory data (PBE-GGA) for a geometry-optimized Y4ScCu structure.

## Properties
E_form in kJ per mole of atoms: 55.4

Structure (CIF):
```
data_Y4ScCu
_chemical_formula_sum 'Y16 Sc4 Cu4'
_symmetry_space_group_name_H-M 'F -4 3 m'
_symmetry_Int_Tables_number 216
_symmetry_space_group_name_Hall 'F -4 2 3'
_cell_length_a 8.920
_cell_length_b 8.920
_cell_length_c 8.920
_cell_angle_alpha 90.00
_cell_angle_beta 90.00
_cell_angle_gamma 90.00
loop_
_atom_site_label
_atom_site_type_symbol
_atom_site_fract_x
_atom_site_fract_y
_atom_site_fract_z
_atom_site_occupancy
Y1 Y 0.124 0.124 0.376 1
Sc1 Sc 0.250 0.250 0.750 1
Cu1 Cu 0.000 0.000 0.000 1
```

=====

# 2
Density functional theory data (PBE-GGA) for a geometry-optimized RbNaNbF6 structure.

## Properties
Uncorrected formation energy in meV per atom: -2940

Structure (CIF):
```
data_RbNaNbF6
_chemical_formula_sum 'Rb2 Na2 Nb2 F12'
_symmetry_space_group_name_H-M 'P -3 1 c'
_symmetry_Int_Tables_number 163
_symmetry_space_group_name_Hall '-P 3 2c'
_cell_length_a 6.0050
_cell_length_b 6.0050
_cell_length_c 11.2949
_cell_angle_alpha 90.00
_cell_angle_beta 90.00
_cell_angle_gamma 120.00
loop_
_atom_site_label
_atom_site_type_symbol
_atom_site_fract_x
_atom_site_fract_y
_atom_site_fract_z
_atom_site_occupancy
Rb1 Rb 0.0000 0.0000 0.0000 1
Na1 Na 0.3333 0.6667 0.2500 1
Nb1 Nb 0.3333 0.6667 0.7500 1
F1 F 0.0387 0.3932 0.6547 1
```

=====

Which magnetization belongs to each record? In order, 0.0 2.0 μB/cell.
Which DFT total energy belongs to each record? In order, -5.47 -5.56 eV per atom.